The following is a DFT calculation (PBE-GGA) of DySiPt2 after structural relaxation.

```
DySiPt2
1.0
-1.668 -3.626 1.022
-0.096 -1.545 -5.640
6.192 -2.672 0.627
Pt Si Dy
4 2 2
Direct
0.500 0.051 0.045 Pt
0.000 0.661 0.396 Pt
0.000 0.339 0.896 Pt
0.500 0.949 0.545 Pt
0.500 0.706 0.231 Si
0.500 0.294 0.731 Si
0.000 0.196 0.328 Dy
0.000 0.804 0.828 Dy
```

* E: -6.4084 eV per atom
* M_tot: 0.00 μB/cell